BaCrPO6 | Alexandria via LeMat-Bulk | GGA+U | relaxed; crystal system = trigonal; volume = 119.18 Å³ per cell; raw total energy = -6.95 eV/atom; size of the total moment = 0.1110 μB per atom
1.0
4.879 0.000 0.000
2.440 4.225 0.000
0.000 0.000 5.781
O P Cr Ba
6 1 1 1
direct
0.024 0.387 0.324 O
0.387 0.589 0.324 O
0.589 0.024 0.324 O
0.387 0.024 0.676 O
0.024 0.589 0.676 O
0.589 0.387 0.676 O
0.333 0.333 0.500 P
0.667 0.667 0.500 Cr
0.000 0.000 0.000 Ba